This record from Alexandria via LeMat-Bulk describes a geometry-optimized NaBeSe2Br structure. The functional is PBE.

The value obtained for the density of states at the Fermi level is 2.49 states/eV per cell.

abc: 4.3410 4.3410 7.1952
angles: 90.00 90.00 90.00
Last column: nearest neighbours and their distance in Å.
Space group P4/mmm (No. 123)
Symmetry-distinct sites (fractional):
Na  0.0000  0.0000  0.0000 x1  4 Br 3.07
Be  0.5000  0.5000  0.5000 x1  4 Se 2.17
Se  0.0000  0.5000  0.5000 x2  2 Be 2.17
Br  0.5000  0.5000  0.0000 x1  4 Na 3.07


This record from Alexandria via LeMat-Bulk describes a geometry-optimized NbBr6N2 structure. The functional is PBE.

The value obtained for the density of states at the Fermi level is 46.79 states/eV per cell.

abc: 10.6153 10.6153 10.6153
angles: 90.00 90.00 90.00
Last column: nearest neighbours and their distance in Å.
Space group Fm-3m (No. 225)
Symmetry-distinct sites (fractional):
Nb  0.0000  0.0000  0.0000 x4  6 Br 2.54
Br  0.0000  0.0000  0.2389 x24  1 Nb 2.54
N  0.2500  0.2500  0.2500 x8  12 Br 3.75


Number 1: total magnetization 0.0 μB per cell, ρ 3.30 g/cm³, energy -15.82 eV/cell. Number 2: total magnetization 24.3 μB per cell, ρ 3.33 g/cm³, energy -122.91 eV/cell.